Computed, not measured: a relaxed structure of NaV5MoO15 at the GGA+U level of DFT.

Unit cell a=8.2116 b=8.2116 c=10.2888 alpha=70.88 beta=70.88 gamma=26.34
Last column: magnetic moment on the atom in μB.
Positions (direct):
O (0.7367, 0.7367, 0.2249)  0.00
V (0.3348, 0.3348, 0.8953)  1.02
O (0.1898, 0.1898, 0.0524)  -0.01
O (0.8863, 0.8863, 0.2787)  -0.01
O (0.6028, 0.6028, 0.4760)  0.00
O (0.2382, 0.2382, 0.4268)  0.00
O (0.6362, 0.6362, 0.9318)  0.01
O (0.3666, 0.3666, 0.0762)  -0.01
O (0.3919, 0.3919, 0.5275)  -0.02
O (0.7568, 0.7568, 0.5671)  -0.01
V (0.7107, 0.7107, 0.4112)  0.01
O (0.8171, 0.8171, 0.9584)  -0.01
O (0.0016, 0.0016, 0.0080)  -0.03
V (0.1270, 0.1270, 0.8747)  1.00
V (0.2845, 0.2845, 0.5864)  0.17
O (0.5698, 0.5698, 0.2163)  0.01
Na (0.0012, 0.0012, 0.6112)  0.00
O (0.1098, 0.1098, 0.7251)  -0.11
V (0.6652, 0.6652, 0.0964)  0.02
O (0.4329, 0.4329, 0.7715)  -0.10
O (0.2619, 0.2619, 0.7714)  -0.06
Mo (0.8870, 0.8870, 0.1108)  0.09

Output
The calculation puts the total DFT energy (no corrections) at -7.27 eV per atom. The crystal system is monoclinic.